1.
A relaxed structure of MoIr2Au, computed with PBE-GGA.

## Properties
The formation energy is 0.093 eV/atom. As for the energy above the most stable polymorph in this dataset: 117 meV/atom.

Unit cell a=2.785 b=4.007 c=5.588 alpha=90.00 beta=90.00 gamma=90.00
Element x y z (fractional)
1 Au 0.500 0.500 0.752
2 Ir 0.000 0.000 0.011
3 Ir 0.500 0.500 0.260
4 Mo 0.000 0.000 0.477



2.
A relaxed structure of MoIr2Au, computed with PBE-GGA.

## Properties
The formation energy is 0.208 eV/atom. As for the energy above the most stable polymorph in this dataset: 232 meV/atom.

Unit cell a=2.752 b=2.752 c=9.549 alpha=90.00 beta=90.00 gamma=117.68
Element x y z (fractional)
1 Au 0.500 0.500 0.750
2 Ir 0.000 0.000 0.016
3 Ir 0.000 0.000 0.484
4 Mo 0.500 0.500 0.250



3.
A relaxed structure of MoIr2Au, computed with PBE-GGA.

## Properties
The formation energy is 0.074 eV/atom. As for the energy above the most stable polymorph in this dataset: 98 meV/atom.

Unit cell a=4.865 b=4.865 c=4.857 alpha=80.46 beta=80.46 gamma=33.30
Element x y z (fractional)
1 Au 0.750 0.750 0.750
2 Ir 0.992 0.992 0.015
3 Ir 0.508 0.508 0.485
4 Mo 0.250 0.250 0.250



4.
A relaxed structure of MoIr2Au, computed with PBE-GGA.

## Properties
The formation energy is 0.200 eV/atom. As for the energy above the most stable polymorph in this dataset: 224 meV/atom.

Unit cell a=3.860 b=4.015 c=4.015 alpha=90.00 beta=90.00 gamma=90.00
Element x y z (fractional)
1 Au 0.500 0.000 0.500
2 Ir 0.000 0.000 0.000
3 Ir 0.000 0.500 0.500
4 Mo 0.500 0.500 0.000



5.
A relaxed structure of NaMoIr2Au, computed with PBE-GGA.

## Properties
The formation energy is 1.898 eV/atom.

Unit cell a=4.934 b=4.694 c=4.934 alpha=90.00 beta=90.00 gamma=90.00
Element x y z (fractional)
1 Na 0.000 0.500 0.000
2 Mo 0.500 0.500 0.500
3 Ir 0.000 0.000 0.500
4 Ir 0.500 0.000 0.000
5 Au 0.000 0.000 0.000



6.
A relaxed structure of MoIr2RhAu, computed with PBE-GGA.

## Properties
The formation energy is 1.898 eV/atom.

Unit cell a=4.657 b=4.961 c=4.657 alpha=90.00 beta=90.00 gamma=90.00
Element x y z (fractional)
1 Rh 0.000 0.000 0.000
2 Mo 0.500 0.500 0.500
3 Ir 0.000 0.000 0.500
4 Ir 0.500 0.000 0.000
5 Au 0.000 0.500 0.000



7.
A relaxed structure of Ta2MoIrAu, computed with PBE-GGA.

## Properties
The formation energy is 1.731 eV/atom.

Unit cell a=4.695 b=4.925 c=4.695 alpha=90.00 beta=90.00 gamma=90.00
Element x y z (fractional)
1 Mo 0.000 0.000 0.000
2 Ir 0.500 0.500 0.500
3 Au 0.000 0.500 0.000
4 Ta 0.000 0.000 0.500
5 Ta 0.500 0.000 0.000



8.
A relaxed structure of IrAuN2, computed with PBE-GGA.

## Properties
The calculation puts the uncorrected formation energy at 1.23 eV/atom. As for the energy above the most stable polymorph in this dataset: 503 meV/atom.

Unit cell a=6.485 b=6.485 c=6.485 alpha=27.57 beta=27.57 gamma=27.57
Element x y z (fractional)
1 Ir 0.000 0.000 0.000
2 Au 0.500 0.500 0.500
3 N 0.898 0.898 0.898
4 N 0.102 0.102 0.102



9.
A relaxed structure of IrAuN2, computed with PBE-GGA.

## Properties
The calculation puts the uncorrected formation energy at 1.06 eV/atom. As for the energy above the most stable polymorph in this dataset: 327 meV/atom.

Unit cell a=4.935 b=4.935 c=5.859 alpha=65.10 beta=65.10 gamma=90.00
Element x y z (fractional)
1 Ir 0.500 0.500 0.000
2 Ir 0.250 0.750 0.500
3 Au 0.000 0.000 0.000
4 Au 0.750 0.250 0.500
5 N 0.564 0.125 0.250
6 N 0.186 0.625 0.250
7 N 0.375 0.436 0.750
8 N 0.875 0.814 0.750



10.
A relaxed structure of IrAuN2, computed with PBE-GGA.

## Properties
The calculation puts the uncorrected formation energy at 1.99 eV/atom. As for the energy above the most stable polymorph in this dataset: 1261 meV/atom.

Unit cell a=4.001 b=4.001 c=4.001 alpha=60.00 beta=60.00 gamma=60.00
Element x y z (fractional)
1 Ir 0.000 0.000 0.000
2 Au 0.500 0.500 0.500
3 N 0.250 0.250 0.250
4 N 0.750 0.750 0.750



11.
A relaxed structure of Ir2AuN, computed with PBE-GGA.

## Properties
The calculation puts the uncorrected formation energy at 0.58 eV/atom.

Unit cell a=6.242 b=6.242 c=5.399 alpha=54.68 beta=54.68 gamma=90.00
Element x y z (fractional)
1 Ir 0.507 0.125 0.250
2 Ir 0.243 0.625 0.250
3 Ir 0.375 0.493 0.750
4 Ir 0.875 0.757 0.750
5 Au 0.000 0.000 0.000
6 Au 0.750 0.250 0.500
7 N 0.500 0.500 0.000
8 N 0.250 0.750 0.500



12.
A relaxed structure of IrAuN3, computed with PBE-GGA.

## Properties
The calculation puts the uncorrected formation energy at 2.96 eV/atom.

Unit cell a=3.969 b=3.969 c=3.969 alpha=90.00 beta=90.00 gamma=90.00
Element x y z (fractional)
1 Ir 0.500 0.500 0.500
2 Au 0.000 0.000 0.000
3 N 0.000 0.500 0.000
4 N 0.000 0.000 0.500
5 N 0.500 0.000 0.000



13.
A relaxed structure of IrAuN3, computed with PBE-GGA.

## Properties
The calculation puts the uncorrected formation energy at 1.76 eV/atom.

Unit cell a=3.896 b=3.896 c=3.896 alpha=90.00 beta=90.00 gamma=90.00
Element x y z (fractional)
1 Ir 0.000 0.000 0.000
2 Au 0.500 0.500 0.500
3 N 0.000 0.500 0.000
4 N 0.000 0.000 0.500
5 N 0.500 0.000 0.000



14.
A relaxed structure of IrAuN2, computed with PBE-GGA.

## Properties
The calculation puts the uncorrected formation energy at 0.73 eV/atom. As for the energy above the most stable polymorph in this dataset: 0 meV/atom.

Unit cell a=6.438 b=6.438 c=6.438 alpha=27.91 beta=27.91 gamma=27.91
Element x y z (fractional)
1 Ir 0.500 0.500 0.500
2 Au 0.000 0.000 0.000
3 N 0.888 0.888 0.888
4 N 0.112 0.112 0.112



15.
A relaxed structure of Ni2IrAuN, computed with PBE-GGA.

## Properties
The calculation puts the uncorrected formation energy at 0.20 eV/atom.

Unit cell a=3.964 b=3.964 c=3.936 alpha=90.00 beta=90.00 gamma=90.00
Element x y z (fractional)
1 Ni 0.000 0.500 0.000
2 Ni 0.500 0.000 0.000
3 Ir 0.000 0.000 0.500
4 Au 0.500 0.500 0.500
5 N 0.000 0.000 0.000



16.
A relaxed structure of IrAuN2O, computed with PBE-GGA.

## Properties
The calculation puts the uncorrected formation energy at 1.09 eV/atom.

Unit cell a=3.769 b=3.769 c=4.472 alpha=90.00 beta=90.00 gamma=90.00
Element x y z (fractional)
1 Ir 0.000 0.000 0.000
2 Au 0.500 0.500 0.500
3 O 0.000 0.000 0.500
4 N 0.000 0.500 0.000
5 N 0.500 0.000 0.000



17.
A relaxed structure of IrAuN2O, computed with PBE-GGA.

## Properties
The calculation puts the uncorrected formation energy at 2.39 eV/atom.

Unit cell a=4.051 b=4.051 c=3.948 alpha=90.00 beta=90.00 gamma=90.00
Element x y z (fractional)
1 Ir 0.500 0.500 0.500
2 Au 0.000 0.000 0.000
3 O 0.000 0.000 0.500
4 N 0.000 0.500 0.000
5 N 0.500 0.000 0.000



18.
A relaxed structure of RbIrAu2N, computed with PBE-GGA.

## Properties
The calculation puts the uncorrected formation energy at 1.42 eV/atom.

Unit cell a=4.279 b=5.362 c=4.279 alpha=90.00 beta=90.00 gamma=90.00
Element x y z (fractional)
1 Ir 0.500 0.500 0.500
2 Au 0.000 0.000 0.500
3 Au 0.500 0.000 0.000
4 Rb 0.000 0.500 0.000
5 N 0.000 0.000 0.000



19.
A relaxed structure of IrAu2SN, computed with PBE-GGA.

## Properties
The calculation puts the uncorrected formation energy at 1.26 eV/atom.

Unit cell a=4.975 b=3.197 c=4.975 alpha=90.00 beta=90.00 gamma=90.00
Element x y z (fractional)
1 S 0.000 0.000 0.000
2 Ir 0.500 0.500 0.500
3 Au 0.000 0.000 0.500
4 Au 0.500 0.000 0.000
5 N 0.000 0.500 0.000



20.
A relaxed structure of IrAuS2N, computed with PBE-GGA.

## Properties
The calculation puts the uncorrected formation energy at 0.69 eV/atom. As for the energy above the most stable polymorph in this dataset: 0 meV/atom.

Unit cell a=4.897 b=4.897 c=3.639 alpha=90.00 beta=90.00 gamma=90.00
Element x y z (fractional)
1 S 0.000 0.500 0.000
2 S 0.500 0.000 0.000
3 Ir 0.000 0.000 0.000
4 Au 0.500 0.500 0.500
5 N 0.000 0.000 0.500